Compound: La4TbNd10
Source: Alexandria via LeMat-Bulk
Functional: GGA-PBE
Structure: optimized geometry Values from VASP.

```
&SYSTEM
  ibrav = 0, nat = 15, ntyp = 3
/
ATOMIC_SPECIES
La 138.91 La.upf
Tb 158.93 Tb.upf
Nd 144.24 Nd.upf
CELL_PARAMETERS angstrom
-5.833 5.833 4.026
5.833 -5.833 4.026
5.833 5.833 -4.026
ATOMIC_POSITIONS angstrom
La 2.643 2.643 0.000
La 3.190 -3.190 4.026
La -3.190 3.190 4.026
La 3.190 3.190 4.026
Tb 0.000 0.000 0.000
Nd 5.833 3.384 -1.689
Nd 5.833 0.000 2.013
Nd 3.384 5.833 -1.689
Nd 2.449 0.000 2.337
Nd 0.000 2.449 2.337
Nd 5.833 3.384 1.689
Nd 3.384 5.833 1.689
Nd 2.449 0.000 5.715
Nd 0.000 5.833 2.013
Nd 0.000 2.449 5.715
```

! La2Tb2Nd7 | Alexandria via LeMat-Bulk | GGA-PBE | optimized geometry; values from VASP
! * ΔE to the lowest computed polymorph: 0.000 eV per atom
&SYSTEM
  ibrav = 0, nat = 22, ntyp = 3
/
ATOMIC_SPECIES
La 138.91 La.upf
Tb 158.93 Tb.upf
Nd 144.24 Nd.upf
CELL_PARAMETERS angstrom
9.030 0.000 0.000
-4.471 7.853 0.000
-1.379 -2.390 10.901
ATOMIC_POSITIONS angstrom
La -1.399 1.522 5.349
La 1.329 -1.660 10.807
La 1.852 7.123 0.095
La 4.580 3.941 5.553
Tb -2.695 2.490 8.227
Tb -1.025 5.385 8.124
Tb 4.206 0.079 2.777
Tb 5.875 2.974 2.675
Nd -0.406 1.616 0.981
Nd -3.658 6.585 2.725
Nd 0.913 -0.745 6.427
Nd -0.904 4.998 0.794
Nd -0.916 4.971 4.655
Nd 0.358 1.357 9.379
Nd 1.707 2.172 3.928
Nd 1.473 3.291 6.973
Nd 2.823 4.106 1.522
Nd 4.096 0.493 6.247
Nd 4.085 0.465 10.108
Nd 2.267 6.208 4.475
Nd 6.838 -1.122 8.177
Nd 3.587 3.847 9.921

! LaTb4Nd | Alexandria via LeMat-Bulk | GGA-PBE | optimized geometry; values from VASP
! * ΔE to the lowest computed polymorph: 0.000 eV per atom
&SYSTEM
  ibrav = 0, nat = 6, ntyp = 3
/
ATOMIC_SPECIES
La 138.91 La.upf
Tb 158.93 Tb.upf
Nd 144.24 Nd.upf
CELL_PARAMETERS angstrom
5.105 0.000 0.000
-2.548 5.712 0.000
-0.008 -2.300 6.865
ATOMIC_POSITIONS angstrom
La 0.000 0.000 0.000
Tb -0.003 2.253 4.565
Tb 0.000 3.417 1.147
Tb 2.549 -0.004 5.718
Tb 2.553 1.160 2.300
Nd -0.004 -1.150 3.432

! La6TbNd3 | Alexandria via LeMat-Bulk | GGA-PBE | optimized geometry; values from VASP
! * ΔE to the lowest computed polymorph: 0.064 eV per atom
&SYSTEM
  ibrav = 0, nat = 10, ntyp = 3
/
ATOMIC_SPECIES
La 138.91 La.upf
Tb 158.93 Tb.upf
Nd 144.24 Nd.upf
CELL_PARAMETERS angstrom
5.793 -3.510 0.000
5.793 3.510 0.000
-2.846 0.000 8.882
ATOMIC_POSITIONS angstrom
La 2.946 1.643 1.732
La 0.280 0.000 3.737
La 5.795 1.643 7.150
La 2.946 -1.643 1.732
La 8.460 0.000 5.145
La 5.795 -1.643 7.150
Tb 0.000 0.000 0.000
Nd 2.572 0.000 7.376
Nd 4.370 0.000 4.441
Nd 6.169 0.000 1.506

! LaTbNd3 | Alexandria via LeMat-Bulk | GGA-PBE | optimized geometry; values from VASP
! * ΔE to the lowest computed polymorph: 0.159 eV per atom
&SYSTEM
  ibrav = 0, nat = 10, ntyp = 3
/
ATOMIC_SPECIES
La 138.91 La.upf
Tb 158.93 Tb.upf
Nd 144.24 Nd.upf
CELL_PARAMETERS angstrom
8.881 -3.455 0.000
8.881 3.455 0.000
-2.095 0.000 5.744
ATOMIC_POSITIONS angstrom
La 0.000 0.000 0.000
La -1.048 0.000 2.872
Tb 6.526 0.000 4.021
Tb 9.140 0.000 1.723
Nd 5.958 1.611 0.558
Nd 3.037 0.000 2.737
Nd 9.709 1.611 5.186
Nd 5.958 -1.611 0.558
Nd 12.629 0.000 3.007
Nd 9.709 -1.611 5.186

Compound: La3Tb5Nd2
Source: Alexandria via LeMat-Bulk
Functional: GGA-PBE
Structure: optimized geometry Values from VASP.

```
&SYSTEM
  ibrav = 0, nat = 20, ntyp = 3
/
ATOMIC_SPECIES
La 138.91 La.upf
Tb 158.93 Tb.upf
Nd 144.24 Nd.upf
CELL_PARAMETERS angstrom
5.398 -8.536 0.000
5.398 8.536 0.000
-5.387 0.000 7.455
ATOMIC_POSITIONS angstrom
La 1.337 2.132 0.340
La 1.358 4.628 5.591
La -1.356 -2.132 4.068
La 6.765 2.132 3.387
La 4.051 -4.628 1.864
La 4.071 -2.132 7.115
Tb 1.358 8.072 5.591
Tb -1.348 1.956 5.661
Tb 4.051 3.823 1.864
Tb 1.345 -1.956 1.933
Tb 4.051 0.526 1.864
Tb 1.358 -0.526 5.591
Tb 4.064 1.956 5.521
Tb 1.358 -3.823 5.591
Tb 6.757 -1.956 1.794
Tb 4.051 -8.072 1.864
Nd 1.346 2.042 3.448
Nd -1.348 -2.042 7.176
Nd 6.757 2.042 0.279
Nd 4.063 -2.042 4.006
```

Compound: La4Tb3Nd5
Source: Alexandria via LeMat-Bulk
Functional: GGA-PBE
Structure: optimized geometry Values from VASP.

```
&SYSTEM
  ibrav = 0, nat = 12, ntyp = 3
/
ATOMIC_SPECIES
La 138.91 La.upf
Tb 158.93 Tb.upf
Nd 144.24 Nd.upf
CELL_PARAMETERS angstrom
8.292 -3.043 0.000
8.292 3.043 0.000
-4.291 0.000 8.524
ATOMIC_POSITIONS angstrom
La -0.502 0.000 3.746
La -0.168 0.000 7.477
La 12.461 0.000 1.047
La 12.795 0.000 4.778
Tb 2.490 0.000 1.929
Tb 8.292 0.000 0.000
Tb 9.803 0.000 6.595
Nd 0.000 0.000 0.000
Nd 2.838 0.000 5.200
Nd 5.782 0.000 2.539
Nd 6.511 0.000 5.985
Nd 9.455 0.000 3.324
```

! La6Tb12Nd | Alexandria via LeMat-Bulk | GGA-PBE | optimized geometry; values from VASP
! * ΔE to the lowest computed polymorph: 0.000 eV per atom
&SYSTEM
  ibrav = 0, nat = 19, ntyp = 3
/
ATOMIC_SPECIES
La 138.91 La.upf
Tb 158.93 Tb.upf
Nd 144.24 Nd.upf
CELL_PARAMETERS angstrom
6.207 3.583 4.891
-6.207 3.583 4.891
0.000 -7.167 4.891
ATOMIC_POSITIONS angstrom
La -3.321 0.901 6.560
La -2.441 -2.426 8.113
La 0.880 -3.327 6.560
La -0.880 3.327 8.113
La 2.441 2.426 6.560
La 3.321 -0.901 8.113
Tb -1.619 -5.782 6.290
Tb -5.817 -1.489 8.383
Tb -1.459 -1.400 4.467
Tb -4.198 4.293 6.290
Tb -0.483 1.963 4.467
Tb 1.942 -0.564 4.467
Tb -1.942 0.564 10.205
Tb 0.483 -1.963 10.205
Tb 4.198 -4.293 8.383
Tb 1.459 1.400 10.205
Tb 5.817 1.489 6.290
Tb 1.619 5.782 8.383
Nd 0.000 0.000 7.336

| no. | raw total energy (eV/atom) | Fermi-level density of states (states/eV/cell) | energy of formation from the pure elements (kJ/mol of formula units) |
| --- | --- | --- | --- |
| 1 | -4.586 | 20.93 | 311 |
| 2 | -4.660 | 28.60 | 118 |
| 3 | -4.680 | 8.89 | 13 |
| 4 | -4.674 | 17.29 | 169 |
| 5 | -4.595 | 16.26 | 85 |
| 6 | -4.578 | 29.15 | 163 |
| 7 | -4.592 | 20.45 | 226 |
| 8 | -4.568 | 35.20 | 300 |